A relaxed SnGe2 crystal. Source: Alexandria, functional PBE-GGA.

Lattice parameters (Å, degrees): 3.6498 3.6498 5.5236 108.05 108.05 90.18
Atoms (fractional coordinates):
Sn 0.0000 0.0000 0.0000
Ge 0.3100 0.3100 0.6232
Ge 0.6900 0.6900 0.3768

Summary:
Energy of formation from the pure elements ... 0.225 eV/atom
DOS(E_F) ... 0.6 states/eV/cell
Volume ... 66 Å³/cell
Space-group type ... C2/m (12)